This record from Alexandria describes a PBEsol-optimized structure of YAl2OsPd. The functional is meta-GGA SCAN.

Unit cell a=4.478 b=4.478 c=5.052 alpha=90.00 beta=90.00 gamma=90.00
Last column: magnetic moment on the atom in μB.
Element x y z (fractional)
1 Pd 0.000 0.000 0.000  0.13
2 Os 0.000 0.000 0.500  1.19
3 Al 0.000 0.500 0.000  0.00
4 Al 0.500 0.000 0.000  0.00
5 Y 0.500 0.500 0.500  -0.08

## Properties
E_tot: -1.0820 Ha/atom
DOS(E_F): 3.17 states/eV per cell
ΔH_f (0 K): 0.8 eV/f.u.